{"formula": "MgIn3Rh", "functional": "GGA-PBEsol", "state": "optimized geometry", "lattice_angstrom": [[5.122, 0.000, 0.000], [0.000, 5.122, 0.000], [0.000, 0.000, 5.122]], "species": ["In", "Rh", "In", "In", "Mg"], "frac_coords": [[0.000, 0.500, 0.000], [0.500, 0.500, 0.500], [0.000, 0.000, 0.500], [0.500, 0.000, 0.000], [0.000, 0.000, 0.000]], "m_tot_mub_per_fu": 0.4, "total_energy_ev_per_atom": -2.69, "delta_e_f_kj_per_mol_fu": 515}


{"formula": "CaCo", "functional": "GGA-PBEsol", "state": "optimized geometry", "lattice_angstrom": [[-0.536, 3.504, -0.757], [-4.987, -2.430, 0.962], [1.666, 1.670, 6.554]], "species": ["Ca", "Co", "Ca", "Ca", "Co", "Co"], "frac_coords": [[0.391, 0.782, 0.328], [0.600, 0.200, 0.726], [0.097, 0.194, 0.065], [0.328, 0.657, 0.755], [0.079, 0.158, 0.537], [0.671, 0.342, 0.422]], "m_tot_mub_per_fu": 1.2, "total_energy_ev_per_atom": -4.65, "delta_e_f_kj_per_mol_fu": 56}


{"formula": "Cu5As", "functional": "GGA-PBEsol", "state": "optimized geometry", "lattice_angstrom": [[-1.730, -1.438, 3.462], [-1.246, -3.736, -2.174], [3.992, 0.174, 2.067]], "species": ["Cu", "Cu", "Cu", "Cu", "As", "Cu"], "frac_coords": [[0.000, 0.338, 0.338], [0.000, 0.662, 0.000], [0.000, 0.000, 0.662], [0.500, 0.333, 0.667], [0.500, 0.000, 0.000], [0.500, 0.667, 0.333]], "m_tot_mub_per_fu": 0.0, "total_energy_ev_per_atom": -4.44, "delta_e_f_kj_per_mol_fu": 12}


{"formula": "CrFeCo2", "functional": "GGA-PBEsol", "state": "optimized geometry", "lattice_angstrom": [[-1.104, -1.166, 1.838], [1.406, -2.969, -1.038], [3.890, 0.839, 2.868]], "species": ["Co", "Fe", "Cr", "Co"], "frac_coords": [[0.000, 0.000, 0.750], [0.500, 0.500, 0.500], [0.500, 0.500, 0.000], [0.000, 0.000, 0.250]], "m_tot_mub_per_fu": 2.1, "total_energy_ev_per_atom": -8.64, "delta_e_f_kj_per_mol_fu": 11}


{"formula": "SrLi4Mg", "functional": "GGA-PBEsol", "state": "optimized geometry", "lattice_angstrom": [[-1.431, -2.475, -5.186], [4.215, -1.138, -4.001], [1.565, -5.596, -1.142]], "species": ["Li", "Mg", "Li", "Sr", "Li", "Li"], "frac_coords": [[0.378, 0.378, 0.867], [0.750, 0.750, 0.750], [0.378, 0.378, 0.378], [0.000, 0.000, 0.000], [0.867, 0.378, 0.378], [0.378, 0.867, 0.378]], "m_tot_mub_per_fu": 0.0, "total_energy_ev_per_atom": -1.92, "delta_e_f_kj_per_mol_fu": -10}


{"formula": "La2Be2W", "functional": "GGA-PBEsol", "state": "optimized geometry", "lattice_angstrom": [[3.902, 0.000, 0.000], [0.000, 3.902, 0.000], [-1.951, -1.951, 6.050]], "species": ["W", "Be", "La", "Be", "La"], "frac_coords": [[0.000, 0.000, 0.000], [0.422, 0.422, 0.844], [0.250, 0.750, 0.500], [0.578, 0.578, 0.156], [0.750, 0.250, 0.500]], "m_tot_mub_per_fu": 0.0, "total_energy_ev_per_atom": -5.43, "delta_e_f_kj_per_mol_fu": 518}


{"formula": "AlGeSb2", "functional": "GGA-PBEsol", "state": "optimized geometry", "lattice_angstrom": [[-3.360, 2.594, 2.624], [-0.737, -1.036, 4.825], [1.512, 3.217, 3.502]], "species": ["Sb", "Ge", "Al", "Sb"], "frac_coords": [[0.250, 0.250, 0.250], [0.500, 0.500, 0.500], [0.000, 0.000, 0.000], [0.750, 0.750, 0.750]], "e_form_raw_ev_per_atom": 0.21, "m_tot_mub_per_fu": 0.0, "total_energy_ev_per_atom": -4.32, "de_polymorph_ev_per_atom": 0.074}


{"formula": "Na2MgCl4", "functional": "GGA-PBEsol", "state": "optimized geometry", "lattice_angstrom": [[3.790, 0.000, 0.000], [0.000, 6.878, 0.000], [0.000, 0.000, 11.783]], "species": ["Na", "Cl", "Na", "Cl", "Cl", "Cl", "Na", "Cl", "Mg", "Cl", "Na", "Cl", "Mg", "Cl"], "frac_coords": [[0.500, 0.086, 0.681], [0.000, 0.621, 0.303], [0.500, 0.586, 0.819], [0.500, 0.736, 0.544], [0.500, 0.264, 0.456], [0.000, 0.121, 0.197], [0.500, 0.914, 0.319], [0.000, 0.379, 0.697], [0.000, 0.000, 0.000], [0.500, 0.236, 0.956], [0.500, 0.414, 0.181], [0.000, 0.879, 0.803], [0.000, 0.500, 0.500], [0.500, 0.764, 0.044]], "e_form_raw_ev_per_atom": -1.82, "m_tot_mub_per_fu": 0.0, "total_energy_ev_per_atom": -3.62}


{"formula": "K2CaTa", "functional": "GGA-PBEsol", "state": "optimized geometry", "lattice_angstrom": [[3.284, 0.000, 0.000], [1.642, 2.844, 0.000], [1.642, 0.948, 13.734]], "species": ["K", "Ca", "Ta", "K"], "frac_coords": [[0.242, 0.242, 0.275], [0.000, 0.000, 0.000], [0.500, 0.500, 0.500], [0.758, 0.758, 0.725]], "m_tot_mub_per_fu": 0.4, "total_energy_ev_per_atom": -3.11, "delta_e_f_kj_per_mol_fu": 434, "de_polymorph_ev_per_atom": 0.000}


{"formula": "MgAl3Cu", "functional": "GGA-PBEsol", "state": "optimized geometry", "lattice_angstrom": [[4.954, 0.000, 0.000], [0.000, 4.954, 0.000], [0.000, 0.000, 4.954]], "species": ["Al", "Cu", "Mg", "Al", "Al"], "frac_coords": [[0.000, 0.500, 0.000], [0.500, 0.500, 0.500], [0.000, 0.000, 0.000], [0.000, 0.000, 0.500], [0.500, 0.000, 0.000]], "m_tot_mub_per_fu": 0.0, "total_energy_ev_per_atom": -2.45, "delta_e_f_kj_per_mol_fu": 586}


{"formula": "Na5VO4", "functional": "GGA-PBEsol", "state": "optimized geometry", "lattice_angstrom": [[-0.128, -4.155, -3.559], [6.341, -1.902, 1.993], [-3.671, -5.443, 6.487]], "species": ["Na", "O", "Na", "Na", "Na", "O", "Na", "O", "O", "O", "O", "Na", "V", "Na", "V", "Na", "O", "Na", "Na", "O"], "frac_coords": [[0.228, 0.753, 0.668], [0.086, 0.000, 0.844], [0.772, 0.747, 0.832], [0.228, 0.247, 0.332], [0.772, 0.747, 0.168], [0.455, 0.202, 0.000], [0.288, 0.500, 0.000], [0.455, 0.798, 0.000], [0.914, 0.500, 0.656], [0.914, 0.500, 0.344], [0.545, 0.298, 0.500], [0.772, 0.253, 0.168], [0.733, 0.500, 0.500], [0.772, 0.253, 0.832], [0.267, 0.000, 0.000], [0.228, 0.753, 0.332], [0.086, 0.000, 0.156], [0.712, 0.000, 0.500], [0.228, 0.247, 0.668], [0.545, 0.702, 0.500]], "e_form_raw_ev_per_atom": -1.58, "m_tot_mub_per_fu": 0.0, "total_energy_ev_per_atom": -5.35}


{"formula": "Li2RhF", "functional": "GGA-PBEsol", "state": "optimized geometry", "lattice_angstrom": [[4.106, 0.000, 0.000], [2.053, 3.556, 0.000], [2.053, 1.185, 3.352]], "species": ["Li", "Li", "Rh", "F"], "frac_coords": [[0.750, 0.750, 0.750], [0.250, 0.250, 0.250], [0.500, 0.500, 0.500], [0.000, 0.000, 0.000]], "e_form_raw_ev_per_atom": -0.24, "m_tot_mub_per_fu": 0.5, "total_energy_ev_per_atom": -3.74}


{"formula": "ZnHg3", "functional": "GGA-PBEsol", "state": "optimized geometry", "lattice_angstrom": [[3.361, 0.000, 0.000], [1.680, 5.290, 0.113], [1.680, 2.214, 4.805]], "species": ["Zn", "Hg", "Hg", "Hg"], "frac_coords": [[0.000, 0.301, 0.699], [0.282, 0.704, 0.731], [0.718, 0.269, 0.296], [0.500, 0.893, 0.107]], "m_tot_mub_per_fu": 0.0, "total_energy_ev_per_atom": -0.75, "delta_e_f_kj_per_mol_fu": 26, "de_polymorph_ev_per_atom": 0.020}


{"formula": "SiMoSe2", "functional": "GGA-PBEsol", "state": "optimized geometry", "lattice_angstrom": [[5.706, 0.000, 0.000], [0.000, 5.706, 0.000], [-2.853, -2.853, 5.493]], "species": ["Si", "Mo", "Mo", "Se", "Se", "Si", "Se", "Se"], "frac_coords": [[0.750, 0.250, 0.500], [0.000, 0.000, 0.000], [0.250, 0.750, 0.500], [0.368, 0.875, 0.250], [0.882, 0.375, 0.250], [0.500, 0.500, 0.000], [0.125, 0.118, 0.750], [0.625, 0.632, 0.750]], "e_form_raw_ev_per_atom": 0.41, "m_tot_mub_per_fu": 0.0, "total_energy_ev_per_atom": -5.89}


{"formula": "Rb3LaBr6", "functional": "GGA-PBEsol", "state": "optimized geometry", "lattice_angstrom": [[8.580, 0.000, 0.000], [4.290, 7.431, 0.000], [4.290, 2.477, 7.006]], "species": ["Rb", "Br", "Br", "Br", "La", "Br", "Rb", "Br", "Br", "Rb"], "frac_coords": [[0.750, 0.750, 0.750], [0.762, 0.238, 0.762], [0.762, 0.238, 0.238], [0.762, 0.762, 0.238], [0.000, 0.000, 0.000], [0.238, 0.238, 0.762], [0.500, 0.500, 0.500], [0.238, 0.762, 0.762], [0.238, 0.762, 0.238], [0.250, 0.250, 0.250]], "e_form_raw_ev_per_atom": -1.76, "m_tot_mub_per_fu": 0.0, "total_energy_ev_per_atom": -3.72}


{"formula": "CaYOs2", "functional": "GGA-PBEsol", "state": "optimized geometry", "lattice_angstrom": [[-2.121, 2.027, 1.450], [-3.473, -2.502, -1.584], [0.135, -2.718, 3.998]], "species": ["Y", "Os", "Ca", "Os"], "frac_coords": [[0.500, 0.500, 0.000], [0.000, 0.000, 0.000], [0.000, 0.500, 0.500], [0.500, 0.000, 0.500]], "m_tot_mub_per_fu": 0.0, "total_energy_ev_per_atom": -7.80, "delta_e_f_kj_per_mol_fu": 210}


{"formula": "CrRu2", "functional": "GGA-PBEsol", "state": "optimized geometry", "lattice_angstrom": [[2.652, 0.000, 0.000], [-1.326, 4.762, 0.003], [0.000, -1.453, 6.022]], "species": ["Cr", "Ru", "Ru", "Ru", "Ru", "Cr"], "frac_coords": [[0.999, 0.998, 0.001], [0.719, 0.437, 0.950], [0.057, 0.115, 0.608], [0.335, 0.670, 0.670], [0.390, 0.780, 0.276], [0.667, 0.334, 0.329]], "m_tot_mub_per_fu": 0.0, "total_energy_ev_per_atom": -10.14, "delta_e_f_kj_per_mol_fu": 15}


{"formula": "Co2CuTe", "functional": "GGA-PBEsol", "state": "optimized geometry", "lattice_angstrom": [[3.252, 0.000, 0.000], [0.000, 3.252, 0.000], [0.000, 0.000, 5.141]], "species": ["Te", "Co", "Cu", "Co"], "frac_coords": [[0.500, 0.500, 0.774], [0.500, 0.500, 0.261], [0.000, 0.000, 0.463], [0.000, 0.000, 0.002]], "e_form_raw_ev_per_atom": 0.35, "m_tot_mub_per_fu": 2.0, "total_energy_ev_per_atom": -5.48}


{"formula": "CaIn2Pd2", "functional": "GGA-PBEsol", "state": "optimized geometry", "lattice_angstrom": [[3.269, 0.000, 0.000], [0.000, 7.730, 0.000], [0.000, 0.000, 7.730]], "species": ["Ca", "In", "Ca", "Pd", "In", "In", "In", "Pd", "Pd", "Pd"], "frac_coords": [[0.000, 0.500, 0.500], [0.500, 0.847, 0.347], [0.000, 0.000, 0.000], [0.000, 0.359, 0.859], [0.500, 0.347, 0.153], [0.500, 0.153, 0.653], [0.500, 0.653, 0.847], [0.000, 0.141, 0.359], [0.000, 0.641, 0.141], [0.000, 0.859, 0.641]], "m_tot_mub_per_fu": 0.0, "total_energy_ev_per_atom": -4.59, "delta_e_f_kj_per_mol_fu": -282}


{"formula": "Cd3Ag2", "functional": "GGA-PBEsol", "state": "optimized geometry", "lattice_angstrom": [[-1.176, 2.669, -1.185], [-2.505, -1.187, -4.371], [-5.896, 0.109, 1.918]], "species": ["Ag", "Cd", "Cd", "Ag", "Cd"], "frac_coords": [[0.297, 0.598, 0.807], [0.098, 0.210, 0.593], [0.902, 0.790, 0.407], [0.703, 0.402, 0.193], [0.500, 0.000, 0.000]], "m_tot_mub_per_fu": 0.0, "total_energy_ev_per_atom": -2.09, "delta_e_f_kj_per_mol_fu": -22, "de_polymorph_ev_per_atom": 0.012}


{"formula": "Mg2SiNi", "functional": "GGA-PBEsol", "state": "optimized geometry", "lattice_angstrom": [[4.326, 0.000, 0.000], [2.163, 3.746, 0.000], [2.163, 1.249, 3.532]], "species": ["Mg", "Si", "Ni", "Mg"], "frac_coords": [[0.750, 0.750, 0.750], [0.250, 0.250, 0.250], [0.500, 0.500, 0.500], [0.000, 0.000, 0.000]], "e_form_raw_ev_per_atom": -0.07, "m_tot_mub_per_fu": 0.0, "total_energy_ev_per_atom": -3.90}


{"formula": "SbRh2W", "functional": "GGA-PBEsol", "state": "optimized geometry", "lattice_angstrom": [[4.446, 0.000, 0.000], [2.223, 3.850, 0.000], [2.223, 1.283, 3.630]], "species": ["W", "Sb", "Rh", "Rh"], "frac_coords": [[0.250, 0.250, 0.250], [0.500, 0.500, 0.500], [0.000, 0.000, 0.000], [0.750, 0.750, 0.750]], "e_form_raw_ev_per_atom": 0.12, "m_tot_mub_per_fu": 0.0, "total_energy_ev_per_atom": -8.54}


{"formula": "TaInAu2", "functional": "GGA-PBEsol", "state": "optimized geometry", "lattice_angstrom": [[-1.963, 0.695, -2.146], [-2.226, -0.134, 1.992], [0.979, 7.758, 1.618]], "species": ["In", "Au", "Ta", "Au"], "frac_coords": [[0.000, 0.000, 0.498], [0.000, 0.000, 0.993], [0.500, 0.500, 0.763], [0.500, 0.500, 0.245]], "m_tot_mub_per_fu": 0.0, "total_energy_ev_per_atom": -5.89, "delta_e_f_kj_per_mol_fu": -18}


{"formula": "ZnAs2RuI", "functional": "GGA-PBEsol", "state": "optimized geometry", "lattice_angstrom": [[4.773, 0.000, 0.000], [0.000, 5.295, 0.000], [0.000, 0.000, 5.295]], "species": ["As", "I", "Ru", "Zn", "As"], "frac_coords": [[0.000, 0.000, 0.500], [0.000, 0.000, 0.000], [0.500, 0.000, 0.000], [0.500, 0.500, 0.500], [0.000, 0.500, 0.000]], "e_form_raw_ev_per_atom": 1.72, "m_tot_mub_per_fu": 0.0, "total_energy_ev_per_atom": -3.03, "de_polymorph_ev_per_atom": 0.386}


{"formula": "Ca3Fe2N4", "functional": "GGA-PBEsol", "state": "optimized geometry", "lattice_angstrom": [[4.804, 0.000, 0.000], [0.000, 5.831, 0.000], [-2.402, -2.916, 5.036]], "species": ["Ca", "Fe", "Fe", "N", "N", "Ca", "N", "N", "Ca"], "frac_coords": [[0.500, 0.792, 0.000], [0.885, 0.395, 0.769], [0.115, 0.626, 0.231], [0.000, 0.290, 0.000], [0.000, 0.748, 0.000], [0.189, 0.218, 0.378], [0.720, 0.167, 0.440], [0.280, 0.727, 0.560], [0.811, 0.841, 0.622]], "e_form_raw_ev_per_atom": -0.69, "m_tot_mub_per_fu": 2.0, "total_energy_ev_per_atom": -7.18}


{"formula": "YBeIO2", "functional": "GGA-PBEsol", "state": "optimized geometry", "lattice_angstrom": [[4.113, 0.000, 0.000], [0.000, 4.113, 0.000], [0.000, 0.000, 5.968]], "species": ["Be", "O", "I", "Y", "O"], "frac_coords": [[0.500, 0.500, 0.500], [0.000, 0.500, 0.000], [0.000, 0.000, 0.000], [0.000, 0.000, 0.500], [0.500, 0.000, 0.000]], "e_form_raw_ev_per_atom": 0.32, "m_tot_mub_per_fu": 0.0, "total_energy_ev_per_atom": -4.30}


{"formula": "SrSb2", "functional": "GGA-PBEsol", "state": "optimized geometry", "lattice_angstrom": [[-2.005, -3.711, 0.089], [5.035, -0.411, -3.693], [4.015, -2.010, 6.623]], "species": ["Sb", "Sr", "Sr", "Sb", "Sb", "Sb"], "frac_coords": [[0.685, 0.370, 0.377], [0.612, 0.224, 0.781], [0.388, 0.776, 0.219], [0.897, 0.793, 0.865], [0.103, 0.207, 0.135], [0.315, 0.630, 0.623]], "e_form_raw_ev_per_atom": -0.60, "m_tot_mub_per_fu": 0.0, "total_energy_ev_per_atom": -4.26}